A PBEsol-optimized structure of SrCo3Se, computed with SCAN.

a b c (Å): 4.6192 4.6192 4.6192
angles (deg): 90.00 90.00 90.00
Sites, in units of the cell vectors:
Sr: 0.0000 0.0000 0.0000
Co: 0.0000 0.0000 0.5000
Co: 0.0000 0.5000 0.0000
Co: 0.5000 0.0000 0.0000
Se: 0.5000 0.5000 0.5000

* formation energy (no corrections): 2.0723 eV per atom
* spin magnetization: 4.39 μB per formula unit